The following is a DFT calculation (PBE-GGA) of Nb2Co2Pd after structural relaxation.

Volume = 15.1 Å³/atom
E above lowest polymorph = 0.2977 eV/atom
Energy relative to the elements = 0.30 eV per formula unit
DOS(E_F) = 4.54 states/eV/f.u.
Size of the total moment = 0.00 μB/f.u.
SG = No. 127

Cell and atoms, written as CIF:
```
data_Nb2Co2Pd
_symmetry_space_group_name_H-M 'P 1'
_symmetry_Int_Tables_number 1
_cell_length_a 7.344
_cell_length_b 7.344
_cell_length_c 2.808
_cell_angle_alpha 90.00
_cell_angle_beta 90.00
_cell_angle_gamma 90.00
loop_
_symmetry_equiv_pos_as_xyz
'x,y,z'
loop_
_atom_site_label
_atom_site_fract_x
_atom_site_fract_y
_atom_site_fract_z
Pd1 0.500 0.500 0.000
Nb1 0.343 0.843 0.000
Co1 0.135 0.635 0.500
Co2 0.865 0.365 0.500
Nb2 0.157 0.343 0.000
Nb3 0.843 0.657 0.000
Pd2 0.000 0.000 0.000
Co3 0.365 0.135 0.500
Co4 0.635 0.865 0.500
Nb4 0.657 0.157 0.000
```